[1]
First-principles (PBE-GGA) data for crystalline CeZnGa2 at its relaxed geometry, as listed in Alexandria via LeMat-Bulk.

As for the uncorrected energy: -58.49 eV/cell. Its formation energy is -340 meV/atom. The calculation puts the magnetic moment at 0.00 μB per cell.

The structure belongs to space group Fm-3m (No. 225); the cell edges are 6.823, 6.823 and 6.823 Å and the angles 90.00°, 90.00° and 90.00°. The inequivalent atoms are Ce at (0.000, 0.000, 0.000), Zn at (0.000, 0.000, 0.500) and Ga at (0.250, 0.250, 0.250).

***

[2]
First-principles (PBE-GGA) data for crystalline Bi3IO7 at its relaxed geometry, as listed in Alexandria via LeMat-Bulk.

As for the uncorrected energy: -231.42 eV/cell. The uncorrected formation energy comes out at -0.905 eV/atom. The calculation puts the magnetic moment at 0.00 μB per cell.

The structure belongs to space group C222_1 (No. 20); the cell edges are 8.117, 11.057 and 7.876 Å and the angles 90.00°, 90.00° and 90.00°. The inequivalent atoms are Bi at (0.046, 0.000, 0.000), Bi at (0.236, 0.259, 0.757), I at (0.007, 0.500, 0.000), O at (0.000, 0.129, 0.250), O at (0.000, 0.145, 0.750), O at (0.000, 0.434, 0.750), O at (0.172, 0.375, 0.045) and O at (0.218, 0.376, 0.466).

***

[3]
First-principles (PBE-GGA) data for crystalline Pr3Y8Th at its relaxed geometry, as listed in Alexandria via LeMat-Bulk.

As for the uncorrected energy: -139.48 eV/cell. Its formation energy is 311 meV/atom. The calculation puts the magnetic moment at 0.00 μB per cell.

The structure belongs to space group Immm (No. 71); the cell edges are 6.488, 11.570 and 11.585 Å and the angles 90.00°, 90.00° and 90.00°. The inequivalent atoms are Pr at (0.000, 0.000, 0.000), Pr at (0.000, 0.239, 0.500), Y at (0.000, 0.252, 0.170), Y at (0.249, 0.500, 0.250) and Th at (0.000, 0.500, 0.000).

***

[4]
First-principles (PBE-GGA) data for crystalline ErNi2Ag at its relaxed geometry, as listed in Alexandria via LeMat-Bulk.

As for the uncorrected energy: -78.72 eV/cell. Its formation energy is -176 meV/atom. For the energy above the most stable polymorph in this dataset, the calculation gives 0.043 eV/atom. The calculation puts the magnetic moment at 0.00 μB per cell.

The structure belongs to space group Fm-3m (No. 225); the cell edges are 6.370, 6.370 and 6.370 Å and the angles 90.00°, 90.00° and 90.00°. The inequivalent atoms are Er at (0.000, 0.000, 0.000), Ni at (0.250, 0.250, 0.250) and Ag at (0.000, 0.000, 0.500).

***

[5]
First-principles (PBE-GGA) data for crystalline AsPtRh2 at its relaxed geometry, as listed in Alexandria via LeMat-Bulk.

As for the uncorrected energy: -50.71 eV/cell. Its formation energy is 9 meV/atom. The calculation puts the magnetic moment at 2.21 μB per cell.

The structure belongs to space group I-4m2 (No. 119); the cell edges are 3.955, 3.955 and 7.745 Å and the angles 90.00°, 90.00° and 90.00°. The inequivalent atoms are As at (0.000, 0.000, 0.000), Pt at (0.000, 0.500, 0.750), Rh at (0.000, 0.000, 0.500) and Rh at (0.000, 0.500, 0.250).

***

[6]
First-principles (PBE-GGA) data for crystalline VPt2RhSe at its relaxed geometry, as listed in Alexandria via LeMat-Bulk.

As for the uncorrected energy: -28.01 eV/cell. The uncorrected formation energy comes out at 0.805 eV/atom. The calculation puts the magnetic moment at 0.00 μB per cell.

The structure belongs to space group P4/mmm (No. 123); the cell edges are 4.617, 4.617 and 4.423 Å and the angles 90.00°, 90.00° and 90.00°. The inequivalent atoms are V at (0.000, 0.000, 0.000), Pt at (0.000, 0.500, 0.500), Rh at (0.500, 0.500, 0.000) and Se at (0.000, 0.000, 0.500).